The following is a DFT calculation (PBE with a Hubbard U) of CrIn2F4 after structural relaxation.

Density (g/cm3): 4.64
DOS(E_F) (states/eV/cell): 0.1
Crystal system: tetragonal
Relative energy among the computed polymorphs (meV per atom): 19

a = 7.329 Å, b = 7.329 Å, c = 7.329 Å
α = 145.15°, β = 145.15°, γ = 50.11°
Sites, in units of the cell vectors:
Cr 0.000 0.000 0.000
In 0.354 0.354 0.000
In 0.646 0.646 0.000
F 0.000 0.500 0.500
F 0.152 0.152 0.000
F 0.500 0.000 0.500
F 0.848 0.848 0.000